No. 1
# Ba2PWBr | Alexandria | PBE-GGA | relaxed
data_Ba2PWBr
_symmetry_space_group_name_H-M 'P 4/m m m'
_symmetry_Int_Tables_number 123
_symmetry_space_group_name_Hall '-P 4 2'
_cell_length_a 6.314
_cell_length_b 6.314
_cell_length_c 4.576
_cell_angle_alpha 90.00
_cell_angle_beta 90.00
_cell_angle_gamma 90.00
loop_
_atom_site_label
_atom_site_type_symbol
_atom_site_fract_x
_atom_site_fract_y
_atom_site_fract_z
Ba1 Ba 0.000 0.500 0.000
P1 P 0.000 0.000 0.000
W1 W 0.000 0.000 0.500
Br1 Br 0.500 0.500 0.500
# E = -0.18743 Ha/atom
# N(E_F) = 3.59 states/eV per cell

---

No. 2
# Ba6ZnP2Br3 | Alexandria | PBE-GGA | relaxed
data_Ba6ZnP2Br3
_symmetry_space_group_name_H-M 'C 1 2/m 1'
_symmetry_Int_Tables_number 12
_symmetry_space_group_name_Hall '-C 2y'
_cell_length_a 8.266
_cell_length_b 14.330
_cell_length_c 8.460
_cell_angle_alpha 90.00
_cell_angle_beta 109.06
_cell_angle_gamma 90.00
loop_
_atom_site_label
_atom_site_type_symbol
_atom_site_fract_x
_atom_site_fract_y
_atom_site_fract_z
Ba1 Ba 0.224 0.000 0.218
Ba2 Ba 0.246 0.326 0.216
Zn1 Zn 0.000 0.500 0.000
P1 P 0.000 0.166 0.000
Br1 Br 0.000 0.000 0.500
Br2 Br 0.000 0.332 0.500
# E = -0.13516 Ha/atom
# N(E_F) = 9.07 states/eV per cell

---

No. 3
# BaPa2Br11 | Alexandria | PBE-GGA | relaxed
data_BaPa2Br11
_symmetry_space_group_name_H-M 'I b a m'
_symmetry_Int_Tables_number 72
_symmetry_space_group_name_Hall '-I 2 2c'
_cell_length_a 12.815
_cell_length_b 12.817
_cell_length_c 14.694
_cell_angle_alpha 90.00
_cell_angle_beta 90.00
_cell_angle_gamma 90.00
loop_
_atom_site_label
_atom_site_type_symbol
_atom_site_fract_x
_atom_site_fract_y
_atom_site_fract_z
Ba1 Ba 0.000 0.000 0.250
Pa1 Pa 0.162 0.337 0.000
Br1 Br 0.000 0.500 0.000
Br2 Br 0.057 0.226 0.133
Br3 Br 0.193 0.308 0.500
Br4 Br 0.227 0.057 0.367
# E = -0.16032 Ha/atom
# N(E_F) = 25.99 states/eV per cell

---

No. 4
# Ba2PbBr | Alexandria | PBE-GGA | relaxed
data_Ba2PbBr
_symmetry_space_group_name_H-M 'R 3 m'
_symmetry_Int_Tables_number 160
_symmetry_space_group_name_Hall 'R 3 -2"'
_cell_length_a 4.7487
_cell_length_b 4.7487
_cell_length_c 27.1425
_cell_angle_alpha 90.00
_cell_angle_beta 90.00
_cell_angle_gamma 120.00
loop_
_atom_site_label
_atom_site_type_symbol
_atom_site_fract_x
_atom_site_fract_y
_atom_site_fract_z
Ba1 Ba 0.0000 0.0000 0.0000
Ba2 Ba 0.0000 0.0000 0.1727
Pb1 Pb 0.0000 0.0000 0.5866
Br1 Br 0.0000 0.0000 0.7563
# ΔE to the lowest computed polymorph = 0.303 eV/f.u.
# N(E_F) = 6.80 states/eV per cell

---

Magnetic moment values, unit Bohr magnetons per cell, following the record order: 2.57; 6.07; 4.01; 0.00.